Entry 1:
# TaBeSb2 (PBE, optimized geometry)
# energy relative to the elements, uncorrected	2.417	eV per formula unit
# calculated total energy	-5.352	eV per atom
# total magnetic moment	0.51	μB per formula unit
# mass density	9.17	g cm⁻³
data_TaBeSb2
_chemical_formula_sum 'Ta2 Be2 Sb4'
_symmetry_space_group_name_H-M 'I 4/m m m'
_symmetry_Int_Tables_number 139
_symmetry_space_group_name_Hall '-I 4 2'
_cell_length_a 4.442
_cell_length_b 4.442
_cell_length_c 7.957
_cell_angle_alpha 90.00
_cell_angle_beta 90.00
_cell_angle_gamma 90.00
loop_
_atom_site_label
_atom_site_type_symbol
_atom_site_fract_x
_atom_site_fract_y
_atom_site_fract_z
Ta1 Ta 0.000 0.000 0.000
Be1 Be 0.000 0.000 0.500
Sb1 Sb 0.000 0.500 0.250

=====

Entry 2:
# Sr8Cd2Ga (PBE, optimized geometry)
# calculated total energy	-1.839	eV per atom
# DFT formation energy	-0.1744	eV per atom
# total magnetic moment	0.00	μB per formula unit
# energy relative to the lowest polymorph listed for this composition	0	meV/atom
# mass density	3.64	g cm⁻³
data_Sr8Cd2Ga
_chemical_formula_sum 'Sr16 Cd4 Ga2'
_symmetry_space_group_name_H-M 'C 1 2/m 1'
_symmetry_Int_Tables_number 12
_symmetry_space_group_name_Hall '-C 2y'
_cell_length_a 20.485
_cell_length_b 5.792
_cell_length_c 8.068
_cell_angle_alpha 90.00
_cell_angle_beta 108.50
_cell_angle_gamma 90.00
loop_
_atom_site_label
_atom_site_type_symbol
_atom_site_fract_x
_atom_site_fract_y
_atom_site_fract_z
Sr1 Sr 0.029 0.000 0.297
Sr2 Sr 0.092 0.500 0.938
Sr3 Sr 0.163 0.500 0.464
Sr4 Sr 0.205 0.000 0.812
Cd1 Cd 0.181 0.000 0.207
Ga1 Ga 0.000 0.500 0.500